This record from Alexandria via LeMat-Bulk describes La12Sn6Ru after structural relaxation. The functional is PBE.

CIF file:
```
data_La12Sn6Ru
_space_group_name_H-M_alt 'P 1'
_space_group_IT_number 1
_cell_length_a 8.765
_cell_length_b 8.765
_cell_length_c 8.765
_cell_angle_alpha 92.14
_cell_angle_beta 92.14
_cell_angle_gamma 92.14
loop_
_space_group_symop_operation_xyz
'x,y,z'
loop_
_atom_site_label
_atom_site_fract_x
_atom_site_fract_y
_atom_site_fract_z
_atom_site_occupancy
La1 0.807 0.580 0.448 1
La2 0.448 0.807 0.580 1
La3 0.580 0.448 0.807 1
La4 0.193 0.420 0.552 1
La5 0.552 0.193 0.420 1
La6 0.420 0.552 0.193 1
La7 0.956 0.076 0.309 1
La8 0.924 0.691 0.044 1
La9 0.691 0.044 0.924 1
La10 0.044 0.924 0.691 1
La11 0.076 0.309 0.956 1
La12 0.309 0.956 0.076 1
Sn1 0.640 0.858 0.259 1
Sn2 0.741 0.360 0.142 1
Sn3 0.142 0.741 0.360 1
Sn4 0.360 0.142 0.741 1
Sn5 0.259 0.640 0.858 1
Sn6 0.858 0.259 0.640 1
Ru1 0.000 0.000 0.000 1
```

## Properties
- formation energy from the elements (meV/atom) = -516
- DOS at the Fermi energy (states/eV/f.u.) = 24.01